# TiFeAgF6

A geometry-optimized TiFeAgF6 structure (PBE with a Hubbard U, Alexandria).

```
TiFeAgF6
1.0
-1.890 4.804 -1.868
-1.579 -4.685 -2.386
-8.034 -0.620 6.534
F Ti Fe Ag
12 2 2 2
Cartesian
-7.940 -3.434 4.001
-5.677 1.555 -0.978
-3.361 0.106 -1.742
-4.132 -0.057 0.768
-5.825 -2.056 3.258
-7.386 -3.264 1.224
-1.918 1.615 0.175
-9.584 -2.116 2.105
-3.562 2.933 -1.721
-8.142 -0.607 4.022
-7.370 -0.445 1.512
-4.116 2.763 1.056
-3.794 1.486 -0.407
-7.708 -1.987 2.687
-7.812 1.176 2.860
-3.691 -1.677 -0.580
-4.017 -0.310 3.267
0.000 0.000 0.000
```

## Properties
E_tot   -97.75 eV per cell
Space group   P-31c, No. 163